Entry 1:
# SmDyMgAl

A relaxed SmDyMgAl crystal (PBE, OQMD via LeMat-Bulk).

It has space group F-43m (No. 216), with a = 7.425 Å, b = 7.425 Å, c = 7.425 Å, α = 90.00°, β = 90.00° and γ = 90.00°. The asymmetric unit holds Sm at (0.000, 0.000, 0.000), Dy at (0.000, 0.000, 0.500), Mg at (0.250, 0.250, 0.750) and Al at (0.250, 0.250, 0.250).

=====

Entry 2:
# Dy3Mg3Al2Tl

A relaxed Dy3Mg3Al2Tl crystal (PBE, OQMD via LeMat-Bulk).

It has space group P-62m (No. 189), with a = 7.4141 Å, b = 7.4141 Å, c = 4.5863 Å, α = 90.00°, β = 90.00° and γ = 120.00°. The asymmetric unit holds Dy at (0.0000, 0.4349, 0.0000), Mg at (0.0000, 0.7520, 0.5000), Al at (0.3333, 0.6667, 0.5000) and Tl at (0.0000, 0.0000, 0.0000).

=====

Entry 3:
# DyTm2Mg4Al2

A relaxed DyTm2Mg4Al2 crystal (PBE, OQMD via LeMat-Bulk).

It has space group Amm2 (No. 38), with a = 4.548 Å, b = 12.904 Å, c = 7.402 Å, α = 90.00°, β = 90.00° and γ = 90.00°. The asymmetric unit holds Dy at (0.000, 0.000, 0.000), Tm at (0.000, 0.219, 0.345), Mg at (0.000, 0.000, 0.560), Mg at (0.500, 0.000, 0.313), Mg at (0.500, 0.125, 0.687) and Al at (0.500, 0.168, 0.064).

=====

Entry 4:
# Dy3Mg3Al2Zn

A relaxed Dy3Mg3Al2Zn crystal (PBE, OQMD via LeMat-Bulk).

It has space group P-62m (No. 189), with a = 7.3731 Å, b = 7.3731 Å, c = 4.4303 Å, α = 90.00°, β = 90.00° and γ = 120.00°. The asymmetric unit holds Dy at (0.0000, 0.4185, 0.0000), Mg at (0.0000, 0.7588, 0.5000), Al at (0.3333, 0.6667, 0.5000) and Zn at (0.0000, 0.0000, 0.0000).

=====

Entry 5:
# Dy3Mg3AlZn2

A relaxed Dy3Mg3AlZn2 crystal (PBE, OQMD via LeMat-Bulk).

It has space group P-62m (No. 189), with a = 7.5337 Å, b = 7.5337 Å, c = 4.2284 Å, α = 90.00°, β = 90.00° and γ = 120.00°. The asymmetric unit holds Dy at (0.0000, 0.4176, 0.0000), Mg at (0.0000, 0.7507, 0.5000), Al at (0.0000, 0.0000, 0.0000) and Zn at (0.3333, 0.6667, 0.5000).

=====

Entry 6:
# NaDyAl

A relaxed NaDyAl crystal (PBE, OQMD via LeMat-Bulk).

It has space group F-43m (No. 216), with a = 7.124 Å, b = 7.124 Å, c = 7.124 Å, α = 90.00°, β = 90.00° and γ = 90.00°. The asymmetric unit holds Na at (0.000, 0.000, 0.000), Dy at (0.250, 0.250, 0.750) and Al at (0.000, 0.000, 0.500).

=====

Entry 7:
# DyNbAl

A relaxed DyNbAl crystal (PBE, OQMD via LeMat-Bulk).

It has space group F-43m (No. 216), with a = 6.738 Å, b = 6.738 Å, c = 6.738 Å, α = 90.00°, β = 90.00° and γ = 90.00°. The asymmetric unit holds Dy at (0.000, 0.000, 0.000), Nb at (0.250, 0.250, 0.750) and Al at (0.000, 0.000, 0.500).

=====

Entry 8:
# NdDyAl2

A relaxed NdDyAl2 crystal (PBE, OQMD via LeMat-Bulk).

It has space group Amm2 (No. 38), with a = 4.220 Å, b = 4.476 Å, c = 11.337 Å, α = 90.00°, β = 90.00° and γ = 90.00°. The asymmetric unit holds Nd at (0.000, 0.000, 0.000), Dy at (0.500, 0.000, 0.281), Al at (0.000, 0.000, 0.715) and Al at (0.500, 0.000, 0.573).

=====

These records have raw total energy values of -3.921 -3.464 -3.234 -3.340 -3.001 -2.625 -5.468 -4.574 eV per atom, in the order they appear.